# 1
LaTb2Nd7 PBE optimized geometry; volume = 351.5 Å³ per cell; space group = P-1, No. 2; energy above the most stable polymorph in this dataset = 0.0 meV per atom
1.0
6.574 -1.654 -0.090
-2.290 8.651 -2.540
-0.623 0.291 6.587
Nd Tb La
7 2 1
direct
0.116 0.657 0.227
0.703 0.940 0.422
0.635 0.230 0.203
0.500 0.500 0.000
0.884 0.343 0.773
0.297 0.060 0.578
0.365 0.770 0.797
0.220 0.362 0.426
0.780 0.638 0.574
0.000 0.000 0.000



# 2
La2Tb2Nd5 PBE optimized geometry; volume = 314.8 Å³ per cell; space group = C2/m, No. 12; energy above the most stable polymorph in this dataset = 0.0 meV per atom
1.0
-3.408 3.050 2.481
-5.963 -5.399 -1.553
4.996 -3.383 5.564
Nd La Tb
5 2 2
direct
0.112 0.665 0.224
0.443 0.664 0.886
0.888 0.335 0.776
0.000 0.000 0.000
0.557 0.336 0.114
0.334 0.000 0.667
0.666 0.000 0.333
0.777 0.663 0.555
0.223 0.337 0.445



# 3
La2TbNd PBE optimized geometry; volume = 140.4 Å³ per cell; space group = P4/mmm, No. 123; energy above the most stable polymorph in this dataset = 2.0 meV per atom
1.0
-1.803 0.083 4.820
-4.891 0.032 -1.830
-0.060 -5.222 0.067
La Nd Tb
2 1 1
direct
0.000 0.000 0.500
0.000 0.500 0.000
0.500 0.000 0.000
0.500 0.500 0.500



# 4
LaTb5Nd8 PBE optimized geometry; volume = 491.2 Å³ per cell; space group = I-4, No. 82
1.0
8.618 -0.148 0.254
-3.055 8.059 -0.254
-2.507 -4.148 7.131
Nd La Tb
8 1 5
direct
0.072 0.748 0.467
0.720 0.252 0.324
0.167 0.735 0.072
0.533 0.604 0.280
0.676 0.396 0.928
0.568 0.905 0.833
0.928 0.095 0.663
0.337 0.265 0.432
0.250 0.500 0.750
0.818 0.685 0.723
0.500 0.000 0.500
0.277 0.095 0.962
0.038 0.315 0.134
0.866 0.905 0.182



# 5
La4Tb2Nd5 PBE optimized geometry; volume = 397.4 Å³ per cell; space group = Immm, No. 71; energy above the most stable polymorph in this dataset = 156.5 meV per atom
1.0
3.563 0.000 0.000
0.000 9.592 0.000
-1.781 -4.796 11.628
Nd Tb La
5 2 4
direct
0.152 0.355 0.304
0.848 0.051 0.696
0.848 0.645 0.696
0.152 0.949 0.304
0.500 0.000 0.000
0.728 0.728 0.457
0.272 0.272 0.543
0.000 0.291 0.000
0.000 0.709 0.000
0.593 0.593 0.186
0.407 0.407 0.814



# 6
La2Tb6Nd5 PBE optimized geometry; volume = 897.3 Å³ per cell; space group = Pbam, No. 55
1.0
-0.715 3.535 -0.480
-1.855 -1.944 -11.554
-20.125 -3.554 3.830
Nd La Tb
10 4 12
direct
0.500 0.799 0.056
0.500 0.000 0.500
0.500 0.585 0.283
0.500 0.701 0.556
0.500 0.415 0.717
0.500 0.299 0.444
0.500 0.915 0.783
0.500 0.085 0.217
0.500 0.201 0.944
0.500 0.500 0.000
0.000 0.674 0.722
0.000 0.326 0.278
0.000 0.174 0.778
0.000 0.826 0.222
0.500 0.317 0.125
0.000 0.572 0.138
0.000 0.563 0.426
0.000 0.928 0.638
0.000 0.437 0.574
0.000 0.428 0.862
0.000 0.937 0.926
0.500 0.683 0.875
0.500 0.817 0.375
0.000 0.063 0.074
0.500 0.183 0.625
0.000 0.072 0.362



# 7
La5Tb5Nd PBE optimized geometry; volume = 399.7 Å³ per cell; space group = P-6m2, No. 187
1.0
6.250 0.000 0.000
-3.125 5.412 0.000
0.000 0.000 11.818
Tb La Nd
5 5 1
direct
0.333 0.166 0.500
0.834 0.166 0.500
0.000 0.000 0.265
0.000 0.000 0.735
0.834 0.667 0.500
0.333 0.667 0.319
0.000 0.000 0.000
0.333 0.667 0.681
0.667 0.333 0.848
0.667 0.333 0.152
0.333 0.667 0.000



# 8
La4Tb5Nd PBE optimized geometry; volume = 352.1 Å³ per cell; space group = C2/m, No. 12; energy above the most stable polymorph in this dataset = 140.7 meV per atom
1.0
5.485 0.000 -1.254
-0.054 10.590 -0.236
-1.426 0.187 6.384
Tb La Nd
5 4 1
direct
0.800 0.568 0.600
0.195 0.065 0.390
0.805 0.935 0.610
0.200 0.432 0.400
0.500 0.500 0.000
0.946 0.254 0.891
0.330 0.750 0.661
0.670 0.250 0.339
0.054 0.746 0.109
0.500 0.000 0.000



# 9
La7Tb3Nd PBE optimized geometry; volume = 404.0 Å³ per cell; space group = P3m1, No. 156; energy above the most stable polymorph in this dataset = 0.0 meV per atom
1.0
8.684 0.000 0.000
0.000 7.330 0.000
0.000 -3.665 6.348
La Tb Nd
7 3 1
direct
0.464 0.835 0.671
0.464 0.835 0.165
0.102 0.671 0.836
0.102 0.164 0.329
0.102 0.164 0.836
0.131 0.667 0.333
0.464 0.329 0.165
0.783 0.500 0.500
0.783 0.000 0.500
0.783 0.500 0.000
0.438 0.333 0.667



# 10
La4TbNd4 PBE optimized geometry; volume = 320.8 Å³ per cell; space group = I4/mmm, No. 139
1.0
-0.612 1.179 5.081
-7.998 1.407 1.425
-1.347 -6.983 4.172
Nd La Tb
4 4 1
direct
0.333 0.667 0.667
0.000 0.667 0.333
0.667 0.333 0.333
0.000 0.333 0.667
0.334 0.333 0.000
0.334 0.000 0.333
0.666 0.000 0.667
0.666 0.667 0.000
0.000 0.000 0.000



# 11
La2Tb5Nd PBE optimized geometry; volume = 1094.8 Å³ per cell; space group = P-1, No. 2; energy above the most stable polymorph in this dataset = 63.5 meV per atom
1.0
7.681 -2.728 2.618
-0.928 15.039 5.800
-0.045 3.346 11.059
Tb La Nd
20 8 4
direct
0.741 0.254 0.345
0.259 0.746 0.655
0.956 0.677 0.530
0.718 0.873 0.012
0.824 0.898 0.269
0.664 0.984 0.435
0.044 0.323 0.470
0.100 0.953 0.411
0.176 0.102 0.731
0.484 0.427 0.849
0.282 0.127 0.988
0.589 0.200 0.121
0.632 0.632 0.407
0.900 0.047 0.589
0.195 0.494 0.040
0.368 0.368 0.593
0.516 0.573 0.151
0.336 0.016 0.565
0.411 0.800 0.879
0.805 0.506 0.960
0.886 0.536 0.239
0.231 0.609 0.347
0.423 0.902 0.238
0.114 0.464 0.761
0.103 0.836 0.097
0.769 0.391 0.653
0.897 0.164 0.903
0.577 0.098 0.762
0.364 0.295 0.286
0.944 0.783 0.847
0.636 0.705 0.714
0.056 0.217 0.153



# 12
La10Tb4Nd PBE optimized geometry; volume = 538.2 Å³ per cell; space group = I4/mmm, No. 139
1.0
7.280 0.000 3.287
3.640 8.209 1.644
0.262 0.000 9.125
Tb La Nd
4 10 1
direct
0.228 0.000 0.544
0.228 0.544 0.000
0.772 0.456 0.000
0.772 0.000 0.456
0.250 0.500 0.500
0.491 0.218 0.218
0.709 0.218 0.782
0.709 0.782 0.218
0.509 0.782 0.782
0.926 0.782 0.782
0.291 0.782 0.218
0.074 0.218 0.218
0.291 0.218 0.782
0.750 0.500 0.500
0.000 0.000 0.000



# 13
La5Tb3Nd4 PBE optimized geometry; volume = 430.8 Å³ per cell; space group = C2/m, No. 12
1.0
-3.408 -1.961 4.344
-0.545 -9.685 -0.849
4.041 2.894 8.430
Nd La Tb
4 5 3
direct
0.175 0.857 0.794
0.053 0.748 0.146
0.947 0.252 0.854
0.825 0.143 0.206
0.259 0.073 0.409
0.322 0.285 0.071
0.678 0.715 0.929
0.741 0.927 0.591
0.500 0.500 0.500
0.542 0.640 0.275
0.000 0.500 0.500
0.458 0.360 0.725



# 14
La7TbNd4 PBE optimized geometry; volume = 439.6 Å³ per cell; space group = C2/m, No. 12; energy above the most stable polymorph in this dataset = 176.6 meV per atom
1.0
6.169 0.000 0.000
3.084 9.240 2.052
3.084 1.910 8.136
La Nd Tb
7 4 1
direct
0.919 0.432 0.730
0.206 0.126 0.461
0.207 0.783 0.803
0.793 0.217 0.197
0.794 0.874 0.539
0.081 0.568 0.270
0.500 0.000 0.000
0.574 0.299 0.553
0.328 0.395 0.950
0.426 0.701 0.447
0.672 0.605 0.050
0.000 0.000 0.000



# 15
La3Tb2Nd6 PBE optimized geometry; volume = 406.5 Å³ per cell; space group = I4/mmm, No. 139
1.0
4.887 0.000 0.000
0.000 4.887 0.000
-2.443 -2.443 17.021
La Tb Nd
3 2 6
direct
0.794 0.794 0.589
0.206 0.206 0.411
0.000 0.000 0.000
0.545 0.545 0.090
0.455 0.455 0.910
0.618 0.118 0.236
0.882 0.382 0.764
0.692 0.692 0.384
0.382 0.882 0.764
0.308 0.308 0.616
0.118 0.618 0.236



# 16
La3Tb2Nd7 PBE optimized geometry; volume = 427.7 Å³ per cell; space group = P2/m, No. 10; energy above the most stable polymorph in this dataset = 0.0 meV per atom
1.0
3.666 0.000 0.000
0.000 6.005 -0.315
0.000 -3.976 19.638
Nd La Tb
7 3 2
direct
0.000 0.543 0.854
0.500 0.988 0.179
0.500 0.281 0.537
0.000 0.000 0.000
0.000 0.457 0.146
0.500 0.719 0.463
0.500 0.012 0.821
0.500 0.500 0.000
0.000 0.857 0.634
0.000 0.143 0.366
0.500 0.419 0.706
0.500 0.581 0.294



# 17
La5Tb2Nd PBE optimized geometry; volume = 565.0 Å³ per cell; space group = Pbam, No. 55; energy above the most stable polymorph in this dataset = 0.0 meV per atom
1.0
-0.782 -5.031 1.159
7.269 -1.028 0.444
-0.399 3.361 14.320
Tb La Nd
4 10 2
direct
0.500 0.748 0.375
0.500 0.248 0.125
0.500 0.252 0.625
0.500 0.752 0.875
0.000 0.497 0.249
0.000 0.003 0.749
0.500 0.751 0.624
0.500 0.249 0.376
0.500 0.251 0.876
0.000 0.500 0.500
0.000 0.997 0.251
0.000 0.503 0.751
0.500 0.749 0.124
0.000 0.000 0.000
0.000 0.500 0.000
0.000 0.000 0.500



# 18
La2Tb4Nd5 PBE optimized geometry; volume = 393.5 Å³ per cell; space group = Immm, No. 71; energy above the most stable polymorph in this dataset = 105.4 meV per atom
1.0
3.560 0.000 0.000
0.000 9.292 0.000
-1.780 -4.646 11.895
Nd Tb La
5 4 2
direct
0.142 0.337 0.283
0.858 0.663 0.717
0.500 0.000 0.000
0.142 0.947 0.283
0.858 0.053 0.717
0.000 0.313 0.000
0.403 0.403 0.806
0.597 0.597 0.194
0.000 0.687 0.000
0.267 0.267 0.534
0.733 0.733 0.466



# 19
La5Tb8Nd PBE optimized geometry; volume = 476.2 Å³ per cell; space group = C2/m, No. 12
1.0
-3.231 0.159 -1.535
-7.202 1.939 15.357
0.549 8.127 3.862
Tb La Nd
8 5 1
direct
0.420 0.223 0.840
0.146 0.563 0.292
0.924 0.722 0.849
0.580 0.777 0.160
0.076 0.278 0.151
0.784 0.146 0.567
0.854 0.437 0.708
0.216 0.854 0.433
0.644 0.061 0.288
0.288 0.644 0.576
0.000 0.000 0.000
0.356 0.939 0.712
0.712 0.356 0.424
0.500 0.500 0.000



| no. | ΔE_f (eV per formula unit) |
| --- | --- |
| 1 | 0.751 |
| 2 | 0.159 |
| 3 | 0.052 |
| 4 | 3.149 |
| 5 | 2.528 |
| 6 | 1.176 |
| 7 | 2.821 |
| 8 | 1.621 |
| 9 | 1.882 |
| 10 | 0.148 |
| 11 | 0.700 |
| 12 | 3.011 |
| 13 | 2.676 |
| 14 | 2.310 |
| 15 | 2.799 |
| 16 | 0.956 |
| 17 | 0.084 |
| 18 | 1.866 |
| 19 | 0.735 |